Record 1
A geometry-optimized Nb3ZnAg structure. Source: Alexandria via LeMat-Bulk, functional PBE.

The space group is Pm-3m (No. 221) and the conventional cell measures 4.7241, 4.7241 and 4.7241 Å, with angles of 90.00, 90.00 and 90.00 degrees. The distinct sites, in fractional coordinates, are Nb at (0.0000, 0.0000, 0.5000), Zn at (0.0000, 0.0000, 0.0000) and Ag at (0.5000, 0.5000, 0.5000).

The energy above the most stable polymorph in this dataset comes out at 0.0 meV/atom. Its magnetic moment is 1.44 Bohr magnetons per cell. Its crystal system is cubic. Its total energy is -0.41232 Ry/atom. Its formation energy is 1.257 eV/atom.

Record 2
A geometry-optimized NbZn6Ag structure. Source: Alexandria via LeMat-Bulk, functional PBE.

The space group is P4/mmm (No. 123) and the conventional cell measures 4.1236, 4.1236 and 7.2873 Å, with angles of 90.00, 90.00 and 90.00 degrees. The distinct sites, in fractional coordinates, are Nb at (0.0000, 0.0000, 0.0000), Zn at (0.0000, 0.5000, 0.2504), Zn at (0.5000, 0.5000, 0.0000), Zn at (0.5000, 0.5000, 0.5000) and Ag at (0.0000, 0.0000, 0.5000).

Its magnetic moment is 0.00 Bohr magnetons per cell. Its crystal system is tetragonal. Its total energy is -0.19139 Ry/atom. Its formation energy is -0.033 eV/atom.

Record 3
A geometry-optimized NbZn3Ag structure. Source: Alexandria via LeMat-Bulk, functional PBE.

The space group is Pm-3m (No. 221) and the conventional cell measures 4.6462, 4.6462 and 4.6462 Å, with angles of 90.00, 90.00 and 90.00 degrees. The distinct sites, in fractional coordinates, are Nb at (0.0000, 0.0000, 0.0000), Zn at (0.0000, 0.5000, 0.5000) and Ag at (0.5000, 0.5000, 0.5000).

The energy above the most stable polymorph in this dataset comes out at 0.0 meV/atom. Its magnetic moment is 0.00 Bohr magnetons per cell. Its crystal system is cubic. Its total energy is -0.18103 Ry/atom. Its formation energy is 0.886 eV/atom.

Record 4
A geometry-optimized NbZnAg structure. Source: Alexandria via LeMat-Bulk, functional PBE.

The space group is Fmmm (No. 69) and the conventional cell measures 5.1404, 7.7109 and 10.7767 Å, with angles of 90.00, 90.00 and 90.00 degrees. The distinct sites, in fractional coordinates, are Nb at (0.0000, 0.1653, 0.0000), Zn at (0.0000, 0.0000, 0.3839) and Ag at (0.2500, 0.2500, 0.2500).

The energy above the most stable polymorph in this dataset comes out at 223.7 meV/atom. Its magnetic moment is 0.00 Bohr magnetons per cell. Its crystal system is orthorhombic. Its total energy is -0.32914 Ry/atom. Its formation energy is 0.254 eV/atom.

Record 5
A geometry-optimized NbZn2Ag2 structure. Source: Alexandria via LeMat-Bulk, functional PBE.

The space group is P4/mbm (No. 127) and the conventional cell measures 7.7955, 7.7955 and 2.7483 Å, with angles of 90.00, 90.00 and 90.00 degrees. The distinct sites, in fractional coordinates, are Nb at (0.0000, 0.0000, 0.0000), Zn at (0.1726, 0.3274, 0.5000) and Ag at (0.1277, 0.6277, 0.0000).

The energy above the most stable polymorph in this dataset comes out at 0.0 meV/atom. Its magnetic moment is 0.00 Bohr magnetons per cell. Its crystal system is tetragonal. Its total energy is -0.25681 Ry/atom. Its formation energy is 0.170 eV/atom.

Record 6
A geometry-optimized NbZnAg2 structure. Source: Alexandria via LeMat-Bulk, functional PBE.

The space group is P4/mmm (No. 123) and the conventional cell measures 2.8727, 2.8727 and 8.1901 Å, with angles of 90.00, 90.00 and 90.00 degrees. The distinct sites, in fractional coordinates, are Nb at (0.0000, 0.0000, 0.0000), Zn at (0.0000, 0.0000, 0.5000) and Ag at (0.5000, 0.5000, 0.2674).

Its magnetic moment is 0.00 Bohr magnetons per cell. Its crystal system is tetragonal. Its total energy is -0.30501 Ry/atom. Its formation energy is 0.112 eV/atom.

Record 7
A geometry-optimized NbZnAg2 structure. Source: Alexandria via LeMat-Bulk, functional PBE.

The space group is I-42d (No. 122) and the conventional cell measures 7.3971, 7.3971 and 5.4505 Å, with angles of 90.00, 90.00 and 90.00 degrees. The distinct sites, in fractional coordinates, are Nb at (0.0000, 0.0000, 0.0000), Zn at (0.0000, 0.0000, 0.5000) and Ag at (0.2243, 0.7500, 0.6250).

Its magnetic moment is 0.00 Bohr magnetons per cell. Its crystal system is tetragonal. Its total energy is -0.26743 Ry/atom. Its formation energy is 0.623 eV/atom.

Record 8
A geometry-optimized Nb2Zn2Ag structure. Source: Alexandria via LeMat-Bulk, functional PBE.

The space group is I4/mmm (No. 139) and the conventional cell measures 3.8445, 3.8445 and 12.5327 Å, with angles of 90.00, 90.00 and 90.00 degrees. The distinct sites, in fractional coordinates, are Nb at (0.0000, 0.5000, 0.2500), Zn at (0.0000, 0.0000, 0.0934) and Ag at (0.0000, 0.0000, 0.5000).

The energy above the most stable polymorph in this dataset comes out at 236.7 meV/atom. Its magnetic moment is 0.00 Bohr magnetons per cell. Its crystal system is tetragonal. Its total energy is -0.34585 Ry/atom. Its formation energy is 0.402 eV/atom.

Record 9
A geometry-optimized Nb2Zn2Ag structure. Source: Alexandria via LeMat-Bulk, functional PBE.

The space group is P4/mbm (No. 127) and the conventional cell measures 6.6112, 6.6112 and 3.8381 Å, with angles of 90.00, 90.00 and 90.00 degrees. The distinct sites, in fractional coordinates, are Nb at (0.1631, 0.3369, 0.0000), Zn at (0.1337, 0.6337, 0.5000) and Ag at (0.0000, 0.0000, 0.5000).

The energy above the most stable polymorph in this dataset comes out at 0.0 meV/atom. Its magnetic moment is 0.00 Bohr magnetons per cell. Its crystal system is tetragonal. Its total energy is -0.36324 Ry/atom. Its formation energy is 0.166 eV/atom.

Record 10
A geometry-optimized ZrNbAg3 structure. Source: Alexandria via LeMat-Bulk, functional PBE.

The space group is Pm-3m (No. 221) and the conventional cell measures 4.9921, 4.9921 and 4.9921 Å, with angles of 90.00, 90.00 and 90.00 degrees. The distinct sites, in fractional coordinates, are Zr at (0.0000, 0.0000, 0.0000), Nb at (0.5000, 0.5000, 0.5000) and Ag at (0.0000, 0.5000, 0.5000).

The energy above the most stable polymorph in this dataset comes out at 0.0 meV/atom. Its magnetic moment is 0.01 Bohr magnetons per cell. Its crystal system is cubic. Its total energy is -0.29789 Ry/atom. Its formation energy is 1.381 eV/atom.

Record 11
A geometry-optimized NdAg3 structure. Source: Alexandria via LeMat-Bulk, functional PBE.

The space group is I4/mmm (No. 139) and the conventional cell measures 4.9738, 4.9738 and 7.2036 Å, with angles of 90.00, 90.00 and 90.00 degrees. The distinct sites, in fractional coordinates, are Nd at (0.0000, 0.0000, 0.0000), Ag at (0.0000, 0.0000, 0.5000) and Ag at (0.0000, 0.5000, 0.2500).

Its magnetic moment is 0.00 Bohr magnetons per cell. Its crystal system is tetragonal. Its total energy is -0.25810 Ry/atom. Its formation energy is -0.181 eV/atom.

Record 12
A geometry-optimized Nd5Ag6 structure. Source: Alexandria via LeMat-Bulk, functional PBE.

The space group is P-1 (No. 2) and the conventional cell measures 5.3446, 7.3087 and 8.5999 Å, with angles of 115.14, 97.44 and 90.01 degrees. The distinct sites, in fractional coordinates, are Nd at (0.0000, 0.0000, 0.0000), Nd at (0.2738, 0.3603, 0.7215), Nd at (0.2764, 0.8159, 0.6328), Ag at (0.2323, 0.3981, 0.3239), Ag at (0.2327, 0.9273, 0.3252) and Ag at (0.5003, 0.2119, 0.9999).

Its magnetic moment is 0.00 Bohr magnetons per cell. Its crystal system is triclinic. Its total energy is -0.28273 Ry/atom. Its formation energy is -0.124 eV/atom.